Record 1
The following is a PBE calculation of a relaxed SrAl3Pb crystal, from Alexandria.

The value obtained for the density of states at the Fermi level is 0.64 states/eV/atom. The energy above the most stable polymorph in this dataset comes out at 0.0 meV/atom. For the formation energy, the calculation gives 0.5646 eV per atom. As for the calculated total energy: -13.79 eV for the cell shown.

The space group is Pm-3m (No. 221) and the conventional cell measures 5.5051, 5.5051 and 5.5051 Å, with angles of 90.00, 90.00 and 90.00 degrees. The inequivalent atoms are Sr at (0.0000, 0.0000, 0.0000), Al at (0.0000, 0.5000, 0.5000) and Pb at (0.5000, 0.5000, 0.5000).



Record 2
The following is a PBE calculation of a relaxed SrAlPb2 crystal, from Alexandria.

The value obtained for the density of states at the Fermi level is 0.78 states/eV/atom. For the formation energy, the calculation gives 0.0030 eV per atom. As for the calculated total energy: -38.49 eV for the cell shown.

The space group is R-3m (No. 166, hexagonal axes) and the conventional cell measures 3.8202, 3.8202 and 29.2436 Å, with angles of 90.00, 90.00 and 120.00 degrees. The inequivalent atoms are Sr at (0.0000, 0.0000, 0.0000), Al at (0.0000, 0.0000, 0.5000) and Pb at (0.0000, 0.0000, 0.2379).